(1)
Computed, not measured: an optimized crystal structure of Cr2SiMo at the PBE-GGA level of DFT.

Structure (POSCAR):
```
Cr2SiMo
1.0
2.550 -4.131 0.000
2.550 4.131 0.000
-0.989 0.000 2.449
Cr Si Mo
2 1 1
Direct
0.000 0.500 0.000
0.500 0.000 0.000
0.000 0.000 0.500
0.500 0.500 0.500
```

Output
As for the uncorrected formation energy: 2.0 meV per atom. The calculation puts the total energy at -35.49 eV/f.u. For the density, the calculation gives 7.34 g cm⁻³. As for the symmetry: C2/m.

---

(2)
Computed, not measured: an optimized crystal structure of Mn2BeIn at the PBE-GGA level of DFT.

Structure (POSCAR):
```
Mn2BeIn
1.0
0.000 3.039 3.039
3.039 0.000 3.039
3.039 3.039 0.000
Mn Be In
2 1 1
Direct
0.000 0.000 0.000
0.250 0.250 0.250
0.750 0.750 0.750
0.500 0.500 0.500
```

Output
The value obtained for the formation energy is 1.02 eV per formula unit. The calculation puts the total energy at -23.79 eV/f.u. For the density, the calculation gives 6.91 g cm⁻³. As for the symmetry: F-43m.

---

(3)
Computed, not measured: an optimized crystal structure of CuRh2Au at the PBE-GGA level of DFT.

Structure (POSCAR):
```
CuRh2Au
1.0
1.395 -2.342 0.000
1.395 2.342 0.000
0.000 0.000 9.203
Cu Rh Au
1 2 1
Direct
0.000 0.000 0.000
0.500 0.500 0.232
0.500 0.500 0.768
0.000 0.000 0.500
```

Output
The value obtained for the formation energy is 0.94 eV per formula unit. The calculation puts the total energy at -21.14 eV/f.u. For the density, the calculation gives 12.88 g cm⁻³. As for the symmetry: Cmmm.

---

(4)
Computed, not measured: an optimized crystal structure of Rb2Tl2PbO6 at the PBE-GGA level of DFT.

Structure (POSCAR):
```
Rb2Tl2PbO6
1.0
3.011 -5.141 0.000
3.011 5.141 0.000
-2.119 0.000 6.676
Rb Tl Pb O
2 2 1 6
Direct
0.170 0.830 0.000
0.830 0.170 0.000
0.334 0.666 0.500
0.666 0.334 0.500
0.000 0.000 0.500
0.055 0.381 0.677
0.259 0.259 0.327
0.381 0.055 0.677
0.619 0.945 0.323
0.741 0.741 0.673
0.945 0.619 0.323
```

Output
As for the uncorrected formation energy: -1002.6 meV per atom. The calculation puts the total energy at -51.15 eV/f.u. For the density, the calculation gives 7.09 g cm⁻³. As for the symmetry: C2/m.

---

(5)
Computed, not measured: an optimized crystal structure of LiHgAu3 at the PBE-GGA level of DFT.

Structure (POSCAR):
```
LiHgAu3
1.0
4.588 0.000 0.000
0.000 4.588 0.000
0.000 0.000 4.588
Li Hg Au
1 1 3
Direct
0.000 0.000 0.000
0.500 0.500 0.500
0.000 0.000 0.500
0.000 0.500 0.000
0.500 0.000 0.000
```

Output
The value obtained for the formation energy is 1.30 eV per formula unit. The calculation puts the total energy at -10.75 eV/f.u. For the density, the calculation gives 13.73 g cm⁻³. As for the symmetry: Pm-3m.

---

(6)
Computed, not measured: an optimized crystal structure of Dy2ErMg3 at the PBE-GGA level of DFT.

Structure (POSCAR):
```
Dy2ErMg3
1.0
3.784 0.000 0.000
0.000 3.784 0.000
0.000 0.000 11.298
Dy Er Mg
2 1 3
Direct
0.000 0.000 0.167
0.000 0.000 0.833
0.000 0.000 0.500
0.500 0.500 0.000
0.500 0.500 0.335
0.500 0.500 0.665
```

Output
The value obtained for the formation energy is -0.45 eV per formula unit. The calculation puts the total energy at -19.00 eV/f.u. For the density, the calculation gives 5.80 g cm⁻³. As for the symmetry: P4/mmm.